Record 1
Entry from Alexandria via LeMat-Bulk: a relaxed structure of GaReP2O (PBE-GGA).

Unit cell a=4.807 b=4.807 c=3.451 alpha=90.00 beta=90.00 gamma=90.00
Element x y z (fractional)
Ga  0.000  0.000  0.000
Re  0.500  0.500  0.500
P  0.000  0.500  0.000
P  0.500  0.000  0.000
O  0.000  0.000  0.500

Results
E_form (uncorrected)   0.873 eV/atom
Raw total energy   -5.378 eV/atom
DOS(E_F)   3.77 states/eV/f.u.
Polymorph energy (0 for the lowest one)   969 meV/atom

=====

Record 2
Entry from Alexandria via LeMat-Bulk: a relaxed structure of GaRePO2 (PBE-GGA).

Unit cell a=3.573 b=3.573 c=6.446 alpha=90.00 beta=90.00 gamma=90.00
Element x y z (fractional)
Ga  0.000  0.000  0.000
Re  0.500  0.500  0.500
P  0.000  0.000  0.500
O  0.000  0.500  0.000
O  0.500  0.000  0.000

Results
E_form (uncorrected)   0.226 eV/atom
Raw total energy   -5.934 eV/atom
DOS(E_F)   2.79 states/eV/f.u.
Polymorph energy (0 for the lowest one)   967 meV/atom

=====

Record 3
Entry from Alexandria via LeMat-Bulk: a relaxed structure of GaRePO2 (PBE-GGA).

Unit cell a=3.801 b=3.801 c=5.109 alpha=90.00 beta=90.00 gamma=90.00
Element x y z (fractional)
Ga  0.000  0.000  0.000
Re  0.500  0.500  0.500
P  0.500  0.500  0.000
O  0.000  0.500  0.500
O  0.500  0.000  0.500

Results
E_form (uncorrected)   -0.741 eV/atom
Raw total energy   -6.901 eV/atom
DOS(E_F)   3.02 states/eV/f.u.
Polymorph energy (0 for the lowest one)   0 meV/atom

=====

Record 4
Entry from Alexandria via LeMat-Bulk: a relaxed structure of GaPRhO2 (PBE-GGA).

Unit cell a=3.817 b=3.817 c=5.116 alpha=90.00 beta=90.00 gamma=90.00
Element x y z (fractional)
Ga  0.000  0.000  0.000
P  0.500  0.500  0.000
Rh  0.500  0.500  0.500
O  0.000  0.500  0.500
O  0.500  0.000  0.500

Results
E_form (uncorrected)   -0.149 eV/atom
Raw total energy   -5.290 eV/atom
DOS(E_F)   3.15 states/eV/f.u.
Polymorph energy (0 for the lowest one)   0 meV/atom

=====

Record 5
Entry from Alexandria via LeMat-Bulk: a relaxed structure of GaPRhO2 (PBE-GGA).

Unit cell a=3.542 b=3.542 c=7.035 alpha=90.00 beta=90.00 gamma=90.00
Element x y z (fractional)
Ga  0.000  0.000  0.000
P  0.000  0.000  0.500
Rh  0.500  0.500  0.500
O  0.000  0.500  0.000
O  0.500  0.000  0.000

Results
E_form (uncorrected)   -0.093 eV/atom
Raw total energy   -5.234 eV/atom
DOS(E_F)   4.94 states/eV/f.u.
Polymorph energy (0 for the lowest one)   55 meV/atom

=====

Record 6
Entry from Alexandria via LeMat-Bulk: a relaxed structure of GaPRuO2 (PBE-GGA).

Unit cell a=3.758 b=3.758 c=5.242 alpha=90.00 beta=90.00 gamma=90.00
Element x y z (fractional)
Ga  0.000  0.000  0.000
P  0.500  0.500  0.000
Ru  0.500  0.500  0.500
O  0.000  0.500  0.500
O  0.500  0.000  0.500

Results
E_form (uncorrected)   -0.403 eV/atom
Raw total energy   -5.928 eV/atom
DOS(E_F)   4.24 states/eV/f.u.
Polymorph energy (0 for the lowest one)   0 meV/atom

=====

Record 7
Entry from Alexandria via LeMat-Bulk: a relaxed structure of GaPRuO2 (PBE-GGA).

Unit cell a=3.539 b=3.539 c=6.374 alpha=90.00 beta=90.00 gamma=90.00
Element x y z (fractional)
Ga  0.000  0.000  0.000
P  0.000  0.000  0.500
Ru  0.500  0.500  0.500
O  0.000  0.500  0.000
O  0.500  0.000  0.000

Results
E_form (uncorrected)   0.043 eV/atom
Raw total energy   -5.483 eV/atom
DOS(E_F)   2.64 states/eV/f.u.
Polymorph energy (0 for the lowest one)   445 meV/atom

=====

Record 8
Entry from Alexandria via LeMat-Bulk: a relaxed structure of GaPSO2 (PBE-GGA).

Unit cell a=3.586 b=3.586 c=7.260 alpha=90.00 beta=90.00 gamma=90.00
Element x y z (fractional)
Ga  0.000  0.000  0.000
P  0.000  0.000  0.500
S  0.500  0.500  0.500
O  0.000  0.500  0.000
O  0.500  0.000  0.000

Results
E_form (uncorrected)   -0.115 eV/atom
Raw total energy   -4.611 eV/atom
DOS(E_F)   2.09 states/eV/f.u.

=====

Record 9
Entry from Alexandria via LeMat-Bulk: a relaxed structure of GaP2SO (PBE-GGA).

Unit cell a=4.683 b=4.683 c=3.455 alpha=90.00 beta=90.00 gamma=90.00
Element x y z (fractional)
Ga  0.000  0.000  0.000
P  0.000  0.500  0.500
P  0.500  0.000  0.500
S  0.500  0.500  0.500
O  0.500  0.500  0.000

Results
E_form (uncorrected)   0.423 eV/atom
Raw total energy   -4.163 eV/atom
DOS(E_F)   3.50 states/eV/f.u.
Polymorph energy (0 for the lowest one)   28 meV/atom

=====

Record 10
Entry from Alexandria via LeMat-Bulk: a relaxed structure of GaPSO2 (PBE-GGA).

Unit cell a=3.630 b=3.630 c=4.743 alpha=90.00 beta=90.00 gamma=90.00
Element x y z (fractional)
Ga  0.000  0.000  0.000
P  0.500  0.500  0.000
S  0.500  0.500  0.500
O  0.000  0.500  0.500
O  0.500  0.000  0.500

Results
E_form (uncorrected)   0.034 eV/atom
Raw total energy   -4.462 eV/atom
DOS(E_F)   2.51 states/eV/f.u.

=====

Record 11
Entry from Alexandria via LeMat-Bulk: a relaxed structure of GaP2SO (PBE-GGA).

Unit cell a=4.719 b=4.719 c=4.491 alpha=90.00 beta=90.00 gamma=90.00
Element x y z (fractional)
Ga  0.000  0.000  0.000
P  0.000  0.500  0.000
P  0.500  0.000  0.000
S  0.000  0.000  0.500
O  0.500  0.500  0.500

Results
E_form (uncorrected)   1.360 eV/atom
Raw total energy   -3.226 eV/atom
DOS(E_F)   7.30 states/eV/f.u.
Polymorph energy (0 for the lowest one)   965 meV/atom

=====

Record 12
Entry from Alexandria via LeMat-Bulk: a relaxed structure of GaP2SO (PBE-GGA).

Unit cell a=3.755 b=3.755 c=6.556 alpha=90.00 beta=90.00 gamma=90.00
Element x y z (fractional)
Ga  0.000  0.000  0.000
P  0.000  0.500  0.500
P  0.500  0.000  0.500
S  0.500  0.500  0.000
O  0.500  0.500  0.500

Results
E_form (uncorrected)   0.395 eV/atom
Raw total energy   -4.191 eV/atom
DOS(E_F)   2.66 states/eV/f.u.
Polymorph energy (0 for the lowest one)   0 meV/atom

=====

Record 13
Entry from Alexandria via LeMat-Bulk: a relaxed structure of GaP2SO (PBE-GGA).

Unit cell a=4.838 b=4.838 c=3.602 alpha=90.00 beta=90.00 gamma=90.00
Element x y z (fractional)
Ga  0.000  0.000  0.000
P  0.000  0.500  0.000
P  0.500  0.000  0.000
S  0.500  0.500  0.500
O  0.000  0.000  0.500

Results
E_form (uncorrected)   0.510 eV/atom
Raw total energy   -4.077 eV/atom
DOS(E_F)   5.03 states/eV/f.u.
Polymorph energy (0 for the lowest one)   115 meV/atom

=====

Record 14
Entry from Alexandria via LeMat-Bulk: a relaxed structure of GaSbP2O (PBE-GGA).

Unit cell a=4.911 b=4.911 c=3.686 alpha=90.00 beta=90.00 gamma=90.00
Element x y z (fractional)
Ga  0.000  0.000  0.000
Sb  0.500  0.500  0.500
P  0.000  0.500  0.000
P  0.500  0.000  0.000
O  0.000  0.000  0.500

Results
E_form (uncorrected)   0.165 eV/atom
Raw total energy   -4.421 eV/atom
DOS(E_F)   4.08 states/eV/f.u.
Polymorph energy (0 for the lowest one)   0 meV/atom

=====

Record 15
Entry from Alexandria via LeMat-Bulk: a relaxed structure of GaSbPO2 (PBE-GGA).

Unit cell a=3.933 b=3.933 c=5.317 alpha=90.00 beta=90.00 gamma=90.00
Element x y z (fractional)
Ga  0.000  0.000  0.000
Sb  0.500  0.500  0.500
P  0.500  0.500  0.000
O  0.000  0.500  0.500
O  0.500  0.000  0.500

Results
E_form (uncorrected)   -0.454 eV/atom
Raw total energy   -4.949 eV/atom
DOS(E_F)   0.69 states/eV/f.u.
Polymorph energy (0 for the lowest one)   0 meV/atom

=====

Record 16
Entry from Alexandria via LeMat-Bulk: a relaxed structure of GaSbP2O (PBE-GGA).

Unit cell a=5.126 b=5.126 c=3.923 alpha=90.00 beta=90.00 gamma=90.00
Element x y z (fractional)
Ga  0.000  0.000  0.000
Sb  0.500  0.500  0.500
P  0.000  0.500  0.500
P  0.500  0.000  0.500
O  0.500  0.500  0.000

Results
E_form (uncorrected)   0.376 eV/atom
Raw total energy   -4.209 eV/atom
DOS(E_F)   3.19 states/eV/f.u.
Polymorph energy (0 for the lowest one)   212 meV/atom

=====

Record 17
Entry from Alexandria via LeMat-Bulk: a relaxed structure of GaSbPO2 (PBE-GGA).

Unit cell a=3.885 b=3.885 c=4.933 alpha=90.00 beta=90.00 gamma=90.00
Element x y z (fractional)
Ga  0.000  0.000  0.000
Sb  0.500  0.500  0.500
P  0.000  0.000  0.500
O  0.000  0.500  0.000
O  0.500  0.000  0.000

Results
E_form (uncorrected)   -0.322 eV/atom
Raw total energy   -4.817 eV/atom
DOS(E_F)   3.69 states/eV/f.u.
Polymorph energy (0 for the lowest one)   132 meV/atom

=====

Record 18
Entry from Alexandria via LeMat-Bulk: a relaxed structure of ScGaPO2 (PBE-GGA).

Unit cell a=3.793 b=3.793 c=5.039 alpha=90.00 beta=90.00 gamma=90.00
Element x y z (fractional)
Sc  0.000  0.000  0.000
Ga  0.500  0.500  0.500
P  0.500  0.500  0.000
O  0.000  0.500  0.500
O  0.500  0.000  0.500

Results
E_form (uncorrected)   -0.972 eV/atom
Raw total energy   -5.909 eV/atom
DOS(E_F)   2.32 states/eV/f.u.
Polymorph energy (0 for the lowest one)   67 meV/atom

=====

Record 19
Entry from Alexandria via LeMat-Bulk: a relaxed structure of ScGaPO2 (PBE-GGA).

Unit cell a=3.946 b=3.946 c=5.657 alpha=90.00 beta=90.00 gamma=90.00
Element x y z (fractional)
Sc  0.000  0.000  0.000
Ga  0.500  0.500  0.500
P  0.000  0.000  0.500
O  0.000  0.500  0.000
O  0.500  0.000  0.000

Results
E_form (uncorrected)   -1.039 eV/atom
Raw total energy   -5.976 eV/atom
DOS(E_F)   2.93 states/eV/f.u.
Polymorph energy (0 for the lowest one)   0 meV/atom

=====

Record 20
Entry from Alexandria via LeMat-Bulk: a relaxed structure of GaPSeO2 (PBE-GGA).

Unit cell a=3.793 b=3.793 c=5.035 alpha=90.00 beta=90.00 gamma=90.00
Element x y z (fractional)
Ga  0.000  0.000  0.000
P  0.500  0.500  0.000
Se  0.500  0.500  0.500
O  0.000  0.500  0.500
O  0.500  0.000  0.500

Results
E_form (uncorrected)   -0.018 eV/atom
Raw total energy   -4.385 eV/atom
DOS(E_F)   1.91 states/eV/f.u.
Polymorph energy (0 for the lowest one)   174 meV/atom